GGA-PBE Pr6Sm3Dy2, optimized geometry; V = 398.03 Å³/cell; energy = -4.452 eV/atom; N(E_F) = 16.92 states/eV/cell; formation enthalpy at 0 K = 0.28 eV per atom
1.0
-0.7431 0.1184 4.7522
-2.5722 -4.0550 -0.3012
15.9434 -7.2766 0.2385
Pr Sm Dy
6 3 2
Cartesian
2.1149 -4.2284 0.4360
3.0294 -2.1417 2.9627
10.5132 -6.9848 4.2535
9.5987 -9.0715 1.7268
4.2198 -5.7719 3.2393
8.4083 -5.4414 1.4502
0.0000 0.0000 0.0000
7.0763 -7.6205 3.7319
5.5517 -3.5928 0.9576
13.0102 -8.4195 2.2440
-0.3821 -2.7938 2.4455